Record 1
This record from Alexandria describes a relaxed structure of Sm2Be3CdCu12. The functional is PBE-GGA.

CIF file:
```
data_Sm2Be3CdCu12
_chemical_formula_sum 'Sm6 Be9 Cd3 Cu36'
_symmetry_space_group_name_H-M 'R -3 m'
_symmetry_Int_Tables_number 166
_symmetry_space_group_name_Hall '-R 3 2"'
_cell_length_a 7.4640
_cell_length_b 7.4640
_cell_length_c 18.5674
_cell_angle_alpha 90.00
_cell_angle_beta 90.00
_cell_angle_gamma 120.00
loop_
_atom_site_label
_atom_site_type_symbol
_atom_site_fract_x
_atom_site_fract_y
_atom_site_fract_z
Sm1 Sm 0.0000 0.0000 0.0992
Be1 Be 0.0000 0.5000 0.0000
Cd1 Cd 0.0000 0.0000 0.5000
Cu1 Cu 0.0389 0.5195 0.3538
Cu2 Cu 0.0501 0.5251 0.8840
```

Values from the calculation:
DOS(E_F): 21.68 states/eV/cell
ΔE_f: 0.322 eV/atom
total magnetization: 0.0 Bohr magnetons per cell
calculated volume: 16.59 A^3/atom
total energy: -3.61 eV per atom

Record 2
This record from Alexandria describes a relaxed structure of RbAg2Cl6. The functional is PBE-GGA.

CIF file:
```
data_RbAg2Cl6
_chemical_formula_sum 'Rb1 Ag2 Cl6'
_symmetry_space_group_name_H-M 'P -3 1 m'
_symmetry_Int_Tables_number 162
_symmetry_space_group_name_Hall '-P 3 2'
_cell_length_a 6.7768
_cell_length_b 6.7768
_cell_length_c 7.1470
_cell_angle_alpha 90.00
_cell_angle_beta 90.00
_cell_angle_gamma 120.00
loop_
_atom_site_label
_atom_site_type_symbol
_atom_site_fract_x
_atom_site_fract_y
_atom_site_fract_z
Rb1 Rb 0.0000 0.0000 0.0000
Ag1 Ag 0.3333 0.6667 0.5000
Cl1 Cl 0.0000 0.3814 0.7059
```

Values from the calculation:
formation energy from raw total energies: -588 meV/atom
DOS(E_F): 10.08 states/eV/cell
total magnetization: 2.9 Bohr magnetons per cell
calculated volume: 31.58 A^3/atom
offset from the most stable computed form: 35 meV/atom
total energy: -2.56 eV per atom

Record 3
This record from Alexandria describes a relaxed structure of Nd2Mo2N7. The functional is PBE-GGA.

CIF file:
```
data_Nd2Mo2N7
_chemical_formula_sum 'Nd4 Mo4 N14'
_symmetry_space_group_name_H-M 'C 1 2/m 1'
_symmetry_Int_Tables_number 12
_symmetry_space_group_name_Hall '-C 2y'
_cell_length_a 8.205
_cell_length_b 9.493
_cell_length_c 3.833
_cell_angle_alpha 90.00
_cell_angle_beta 99.84
_cell_angle_gamma 90.00
loop_
_atom_site_label
_atom_site_type_symbol
_atom_site_fract_x
_atom_site_fract_y
_atom_site_fract_z
Nd1 Nd 0.000 0.222 0.000
Mo1 Mo 0.232 0.500 0.505
N1 N 0.000 0.500 0.500
N2 N 0.172 0.000 0.022
N3 N 0.215 0.204 0.607
```

Values from the calculation:
formation energy from raw total energies: -514 meV/atom
DOS(E_F): 6.60 states/eV/cell
total magnetization: 0.0 Bohr magnetons per cell
calculated volume: 13.37 A^3/atom
total energy: -8.65 eV per atom

Record 4
This record from Alexandria describes a relaxed structure of YTlZn2. The functional is PBE-GGA.

CIF file:
```
data_YTlZn2
_chemical_formula_sum 'Y4 Tl4 Zn8'
_symmetry_space_group_name_H-M 'I -4 2 d'
_symmetry_Int_Tables_number 122
_symmetry_space_group_name_Hall 'I -4 2bw'
_cell_length_a 4.464
_cell_length_b 4.464
_cell_length_c 19.811
_cell_angle_alpha 90.00
_cell_angle_beta 90.00
_cell_angle_gamma 90.00
loop_
_atom_site_label
_atom_site_type_symbol
_atom_site_fract_x
_atom_site_fract_y
_atom_site_fract_z
Y1 Y 0.000 0.000 0.000
Tl1 Tl 0.000 0.000 0.500
Zn1 Zn 0.189 0.250 0.625
```

Values from the calculation:
DOS(E_F): 8.76 states/eV/cell
ΔE_f: 0.061 eV/atom
total magnetization: 0.0 Bohr magnetons per cell
calculated volume: 24.68 A^3/atom
offset from the most stable computed form: 280 meV/atom
total energy: -2.78 eV per atom